# Pa2P | Alexandria | PBE | relaxed
data_Pa2P
_symmetry_space_group_name_H-M 'F m m m'
_symmetry_Int_Tables_number 69
_symmetry_space_group_name_Hall '-F 2 2'
_cell_length_a 5.376
_cell_length_b 5.380
_cell_length_c 9.097
_cell_angle_alpha 90.00
_cell_angle_beta 90.00
_cell_angle_gamma 90.00
loop_
_atom_site_label
_atom_site_type_symbol
_atom_site_fract_x
_atom_site_fract_y
_atom_site_fract_z
Pa1 Pa 0.000 0.000 0.144
P1 P 0.000 0.000 0.500
# V (A^3/atom): 21.9
# Size of the total moment (μB/atom): 0.142
# DFT formation energy (eV/atom): -0.458